No. 1
HfTiZn6 | PBE | optimized geometry

a = 4.3719 Å, b = 5.7360 Å, c = 5.7360 Å
α = 119.91°, β = 90.00°, γ = 90.00°
Closest atoms and distances in Å follow each position.
Sites, in units of the cell vectors:
1 Zn 0.5000 0.9162 0.0838  8 Zn 2.72-2.88, 2 Ti 2.75, 2 Hf 2.87
2 Ti 0.0000 0.0842 0.9158  12 Zn 2.75-2.87
3 Zn 0.5000 0.9144 0.5807  8 Zn 2.72-2.90, 2 Ti 2.75, 2 Hf 2.87
4 Zn 0.0000 0.5913 0.9310  8 Zn 2.72-3.00, 2 Hf 2.78, 2 Ti 2.87
5 Hf 0.5000 0.4158 0.5842  12 Zn 2.78-2.87
6 Zn 0.5000 0.4193 0.0856  8 Zn 2.72-2.90, 2 Ti 2.75, 2 Hf 2.87
7 Zn 0.0000 0.0690 0.4087  8 Zn 2.72-3.00, 2 Hf 2.78, 2 Ti 2.87
8 Zn 0.0000 0.5897 0.4103  8 Zn 2.72-2.98, 2 Hf 2.79, 2 Ti 2.87

ΔE to the lowest computed polymorph   6 meV per atom
E_tot   -3.37 eV/atom
Formation energy from the elements   -181 meV per atom


No. 2
Hf2TiZn8 | PBE | optimized geometry

a = 4.6428 Å, b = 5.5932 Å, c = 7.7795 Å
α = 111.10°, β = 107.38°, γ = 89.98°
Closest atoms and distances in Å follow each position.
Sites, in units of the cell vectors:
1 Zn 0.2561 0.5006 0.0000  2 Zn 2.26-2.38
2 Zn 0.6954 0.1953 0.3909  1 Ti 2.69, 4 Hf 2.80, 6 Zn 2.83-2.95
3 Hf 0.6903 0.6901 0.3806  12 Zn 2.80-2.94
4 Zn 0.1214 0.8958 0.2432  4 Zn 2.53-2.83
5 Zn 0.8777 0.6524 0.7568  4 Zn 2.53-2.83
6 Hf 0.3097 0.3099 0.6194  12 Zn 2.80-2.94
7 Zn 0.3046 0.8047 0.6091  1 Ti 2.69, 4 Hf 2.80, 6 Zn 2.83-2.95
8 Ti 0.5000 0.0000 0.0000  2 Zn 2.69
9 Zn 0.8786 0.1042 0.7568  4 Zn 2.53-2.83
10 Zn 0.1223 0.3476 0.2432  4 Zn 2.53-2.83
11 Zn 0.7439 0.4994 0.0000  2 Zn 2.26-2.38

E_tot   -3.54 eV/atom
Formation energy from the elements   -86 meV per atom


No. 3
HfTi2Zn6 | PBE | optimized geometry

a = 4.3142 Å, b = 7.2426 Å, c = 7.2426 Å
α = 46.44°, β = 72.67°, γ = 72.67°
Closest atoms and distances in Å follow each position.
Sites, in units of the cell vectors:
1 Zn 0.4876 0.7463 0.2784  3 Zn 2.48-2.67
2 Ti 0.8889 0.6111 0.6111  1 Ti 2.62, 10 Zn 2.83-2.88
3 Zn 0.2905 0.4608 0.9582  3 Zn 2.48-2.50
4 Zn 0.4876 0.2784 0.7463  3 Zn 2.48-2.67
5 Zn 0.2905 0.9582 0.4608  3 Zn 2.48-2.50
6 Hf 0.0780 0.9220 0.9220  2 Ti 2.87, 10 Zn 2.87-3.03
7 Ti 0.0966 0.4034 0.4034  1 Ti 2.62, 10 Zn 2.83-2.88, 2 Hf 2.87
8 Zn 0.6901 0.5589 0.0609  3 Zn 2.50-2.55
9 Zn 0.6901 0.0609 0.5589  3 Zn 2.50-2.55

E_tot   -3.72 eV/atom
Formation energy from the elements   -9 meV per atom


No. 4
Hf2Ti2Zn3 | PBE | optimized geometry

a = 4.1047 Å, b = 2.8593 Å, c = 10.5928 Å
α = 90.00°, β = 78.83°, γ = 90.00°
Closest atoms and distances in Å follow each position.
Sites, in units of the cell vectors:
1 Hf 0.4263 0.5000 0.1474  1 Ti 2.85, 3 Hf 2.86-3.06, 8 Zn 2.93-3.00
2 Ti 0.2892 0.5000 0.4217  4 Ti 2.62-2.86, 4 Zn 2.77, 1 Hf 2.85
3 Zn 0.8468 0.0000 0.3064  4 Ti 2.77, 2 Zn 2.86, 4 Hf 3.00
4 Ti 0.7108 0.5000 0.5783  4 Ti 2.62-2.86, 4 Zn 2.77, 1 Hf 2.85
5 Zn 0.1532 0.0000 0.6936  4 Ti 2.77, 2 Zn 2.86, 4 Hf 3.00
6 Hf 0.5737 0.5000 0.8526  1 Ti 2.85, 3 Hf 2.86-3.06, 8 Zn 2.93-3.00
7 Zn 0.0000 0.0000 0.0000  4 Zn 2.86-3.18, 8 Hf 2.93

E_tot   -5.67 eV/atom
Formation energy from the elements   -29 meV per atom